Entry from OQMD via LeMat-Bulk: an optimized crystal structure of LiErSeO (PBE).

* V: 132 Å³/cell
* uncorrected energy: -6.130 eV per atom
* polymorph energy (0 for the lowest one): 0.00 kJ per mole of atoms

Lattice parameters (Å, degrees): 3.8759 3.8759 8.7807 90.00 90.00 90.00
Closest atoms and distances in Å follow each position.
Atoms (fractional coordinates):
Er 0.2500 0.2500 0.1238  4 O 2.22
Er 0.7500 0.7500 0.8762  4 O 2.22
Li 0.7500 0.2500 0.5000  4 Se 2.51, 4 Li 2.74
Li 0.2500 0.7500 0.5000  4 Se 2.51, 4 Li 2.74
O 0.7500 0.2500 0.0000  4 Er 2.22
O 0.2500 0.7500 0.0000  4 Er 2.22
Se 0.7500 0.7500 0.3185  4 Li 2.51
Se 0.2500 0.2500 0.6815  4 Li 2.51